# 1
A plane-wave DFT calculation with PBE+U was carried out for a relaxed Co2AuF2 crystal.

Cell lengths 3.4889, 3.4889, 5.8276 Å; angles 72.58, 72.58, 90.00 degrees
Closest atoms and distances in Å follow each position.
Positions (direct):
Au 0.0000 0.0000 0.0000  8 Co 2.81
Co 0.6276 0.6276 0.7449  4 F 2.17
Co 0.3724 0.3724 0.2551  4 F 2.17
F 0.7500 0.2500 0.5000  4 Co 2.17
F 0.2500 0.7500 0.5000  4 Co 2.17

- E (eV per cell) = -21.86

=====

# 2
A plane-wave DFT calculation with PBE+U was carried out for a relaxed CoAu2F crystal.

Cell lengths 7.0595, 7.0595, 5.6565 Å; angles 51.39, 51.39, 90.00 degrees
Closest atoms and distances in Å follow each position.
Positions (direct):
Co 0.0000 0.0000 0.0000  4 Au 2.64, 2 F 2.66
Au 0.6138 0.1250 0.2500  2 F 2.53, 2 Co 2.64, 2 Au 2.67
Au 0.1362 0.6250 0.2500  2 F 2.53, 2 Co 2.64, 2 Au 2.67
F 0.5000 0.5000 0.0000  4 Au 2.53, 2 Co 2.66
Au 0.8750 0.8638 0.7500  2 F 2.53, 2 Co 2.64, 2 Au 2.67
F 0.2500 0.7500 0.5000  4 Au 2.53, 2 Co 2.66
Au 0.3750 0.3862 0.7500  2 F 2.53, 2 Co 2.64, 2 Au 2.67
Co 0.7500 0.2500 0.5000  4 Au 2.64, 2 F 2.66

- E (eV per cell) = -27.50

=====

# 3
A plane-wave DFT calculation with PBE+U was carried out for a relaxed CoAu2F8 crystal.

Cell lengths 4.2703, 6.3489, 6.9572 Å; angles 123.23, 89.99, 96.72 degrees
Closest atoms and distances in Å follow each position.
Positions (direct):
F 0.7907 0.7525 0.0893  1 Au 2.00, 1 Co 2.10
F 0.7129 0.2088 0.1046  1 Co 1.76
Au 0.2007 0.2593 0.6297  4 F 2.00-2.15
Co 0.0000 0.0000 0.0000  2 F 1.76
F 0.6987 0.2649 0.6322  2 Au 2.12-2.15
F 0.3013 0.7351 0.3678  2 Au 2.12-2.15
F 0.2093 0.2475 0.9107  1 Au 2.00, 1 Co 2.10
F 0.7907 0.7527 0.6632  1 Au 2.00, 1 Co 2.10
F 0.2093 0.2473 0.3368  1 Au 2.00, 1 Co 2.10
F 0.2871 0.7912 0.8954  1 Co 1.76
Au 0.7993 0.7407 0.3703  4 F 2.00-2.15

- E (eV per cell) = -40.04

=====

# 4
A plane-wave DFT calculation with PBE+U was carried out for a relaxed CoAuF3 crystal.

Cell lengths 4.0512, 4.0512, 4.0512 Å; angles 90.00, 90.00, 90.00 degrees
Closest atoms and distances in Å follow each position.
Positions (direct):
Au 0.5000 0.5000 0.5000  12 F 2.86
F 0.0000 0.5000 0.0000  2 Co 2.03
F 0.0000 0.0000 0.5000  2 Co 2.03
Co 0.0000 0.0000 0.0000  6 F 2.03
F 0.5000 0.0000 0.0000  2 Co 2.03

- E (eV per cell) = -19.47